# PmPaAsO6 GGA-PBE optimized geometry
data_PmPaAsO6
_symmetry_space_group_name_H-M 'P -3 1 c'
_symmetry_Int_Tables_number 163
_symmetry_space_group_name_Hall '-P 3 2c'
_cell_length_a 5.5578
_cell_length_b 5.5578
_cell_length_c 9.8856
_cell_angle_alpha 90.00
_cell_angle_beta 90.00
_cell_angle_gamma 120.00
loop_
_atom_site_label
_atom_site_type_symbol
_atom_site_fract_x
_atom_site_fract_y
_atom_site_fract_z
Pm1 Pm 0.0000 0.0000 0.0000
Pa1 Pa 0.3333 0.6667 0.2500
As1 As 0.3333 0.6667 0.7500
O1 O 0.0256 0.3665 0.6396
# total magnetization = 0.0 μB/cell
# formation energy without anion corrections = -2.595 eV/atom